Entry 1:
A PBEsol-optimized structure of TbCl3, computed with SCAN.

abc: 6.390 6.390 11.563
angles: 90.00 90.00 90.00
Positions (direct):
Cl 0.208 0.792 0.169
Cl 0.308 0.308 0.000
Cl 0.792 0.208 0.831
Cl 0.292 0.292 0.331
Cl 0.708 0.708 0.669
Cl 0.792 0.208 0.169
Cl 0.208 0.792 0.831
Cl 0.692 0.692 0.000
Cl 0.708 0.708 0.331
Cl 0.292 0.292 0.669
Cl 0.192 0.808 0.500
Cl 0.808 0.192 0.500
Tb 0.000 0.000 0.672
Tb 0.500 0.500 0.172
Tb 0.000 0.000 0.328
Tb 0.500 0.500 0.828

Results
Formation energy (no corrections): -2.505 eV per atom
Total magnetic moment: 0.000 μB per atom
Uncorrected energy: -20.179 eV per atom


Entry 2:
A PBEsol-optimized structure of TbCl3, computed with SCAN.

abc: 3.991 7.300 7.300
angles: 120.00 90.00 90.00
Positions (direct):
Tb 0.750 0.667 0.333
Tb 0.250 0.333 0.667
Cl 0.750 0.089 0.698
Cl 0.750 0.610 0.911
Cl 0.250 0.698 0.610
Cl 0.750 0.302 0.390
Cl 0.250 0.911 0.302
Cl 0.250 0.390 0.089

Results
Formation energy (no corrections): -2.520 eV per atom
Total magnetic moment: 0.000 μB per atom
Uncorrected energy: -20.194 eV per atom